(i)
MnSI3 | PBE-GGA | relaxed

Values from the calculation:
DOS(E_F) in states/eV/atom: 1.604

abc: 5.205 5.205 5.205
angles: 90.00 90.00 90.00
Positions (direct):
1 Mn 0.000 0.000 0.000
2 S 0.500 0.500 0.500
3 I 0.000 0.000 0.500
4 I 0.000 0.500 0.000
5 I 0.500 0.000 0.000


(ii)
MnSI3 | PBE-GGA | relaxed

Values from the calculation:
DOS(E_F) in states/eV/atom: 0.554

abc: 5.589 5.589 5.589
angles: 90.00 90.00 90.00
Positions (direct):
1 Mn 0.000 0.000 0.000
2 S 0.500 0.500 0.500
3 I 0.000 0.500 0.500
4 I 0.500 0.000 0.500
5 I 0.500 0.500 0.000


Stability summary: most stable (ii), least stable (i).


(i)
Mn3SI | PBE-GGA | relaxed

Values from the calculation:
DOS(E_F) in states/eV/atom: 0.734

abc: 4.641 4.641 4.641
angles: 90.00 90.00 90.00
Positions (direct):
1 Mn 0.000 0.000 0.500
2 Mn 0.000 0.500 0.000
3 Mn 0.500 0.000 0.000
4 S 0.000 0.000 0.000
5 I 0.500 0.500 0.500


(ii)
Mn3SI | PBE-GGA | relaxed

Values from the calculation:
DOS(E_F) in states/eV/atom: 0.680

abc: 4.972 4.972 4.972
angles: 90.00 90.00 90.00
Positions (direct):
1 Mn 0.000 0.000 0.500
2 Mn 0.000 0.500 0.000
3 Mn 0.500 0.000 0.000
4 S 0.500 0.500 0.500
5 I 0.000 0.000 0.000


Stability summary: most stable (i), least stable (ii).


(i)
MnSbI3 | PBE-GGA | relaxed

Values from the calculation:
DOS(E_F) in states/eV/atom: 4.552

abc: 6.081 6.081 6.081
angles: 90.00 90.00 90.00
Positions (direct):
1 Mn 0.000 0.000 0.000
2 Sb 0.500 0.500 0.500
3 I 0.000 0.500 0.500
4 I 0.500 0.000 0.500
5 I 0.500 0.500 0.000


(ii)
MnSbI3 | PBE-GGA | relaxed

Values from the calculation:
DOS(E_F) in states/eV/atom: 1.783

abc: 5.253 5.253 5.253
angles: 90.00 90.00 90.00
Positions (direct):
1 Mn 0.000 0.000 0.000
2 Sb 0.500 0.500 0.500
3 I 0.000 0.000 0.500
4 I 0.000 0.500 0.000
5 I 0.500 0.000 0.000


Stability summary: most stable (i), least stable (ii).


(i)
MnSbI2 | PBE-GGA | relaxed

Values from the calculation:
DOS(E_F) in states/eV/atom: 0.810

abc: 5.419 5.419 5.419
angles: 60.00 60.00 60.00
Positions (direct):
1 Mn 0.000 0.000 0.000
2 Sb 0.500 0.500 0.500
3 I 0.250 0.250 0.250
4 I 0.750 0.750 0.750


(ii)
MnSbI2 | PBE-GGA | relaxed

Values from the calculation:
DOS(E_F) in states/eV/atom: 1.600

abc: 7.069 7.069 7.069
angles: 118.59 118.59 92.46
Positions (direct):
1 Mn 0.000 0.000 0.000
2 Mn 0.750 0.250 0.500
3 Sb 0.250 0.750 0.500
4 Sb 0.500 0.500 0.000
5 I 0.037 0.625 0.912
6 I 0.375 0.287 0.412
7 I 0.713 0.125 0.088
8 I 0.875 0.963 0.588


Stability summary: most stable (i), least stable (ii).


(i)
MnSbSeI2 | PBE-GGA | relaxed

Values from the calculation:
DOS(E_F) in states/eV/atom: 1.320

abc: 5.587 5.587 5.455
angles: 90.00 90.00 90.00
Positions (direct):
1 Mn 0.000 0.000 0.000
2 Sb 0.500 0.500 0.000
3 Se 0.500 0.500 0.500
4 I 0.000 0.500 0.500
5 I 0.500 0.000 0.500


(ii)
MnSbSeI2 | PBE-GGA | relaxed

Values from the calculation:
DOS(E_F) in states/eV/atom: 0.778

abc: 5.095 5.095 5.193
angles: 90.00 90.00 90.00
Positions (direct):
1 Mn 0.000 0.000 0.000
2 Sb 0.000 0.000 0.500
3 Se 0.500 0.500 0.500
4 I 0.000 0.500 0.000
5 I 0.500 0.000 0.000


Stability summary: most stable (ii), least stable (i).


(i)
MnSb2SeI | PBE-GGA | relaxed

Values from the calculation:
DOS(E_F) in states/eV/atom: 1.434

abc: 5.014 5.014 5.071
angles: 90.00 90.00 90.00
Positions (direct):
1 Mn 0.000 0.000 0.000
2 Sb 0.000 0.500 0.000
3 Sb 0.500 0.000 0.000
4 Se 0.500 0.500 0.500
5 I 0.000 0.000 0.500


(ii)
MnSb2SeI | PBE-GGA | relaxed

Values from the calculation:
DOS(E_F) in states/eV/atom: 0.772

abc: 5.425 5.425 5.795
angles: 90.00 90.00 90.00
Positions (direct):
1 Mn 0.000 0.000 0.000
2 Sb 0.000 0.500 0.500
3 Sb 0.500 0.000 0.500
4 Se 0.500 0.500 0.500
5 I 0.500 0.500 0.000


Stability summary: most stable (i), least stable (ii).


(i)
MnSiSbI2 | PBE-GGA | relaxed

Values from the calculation:
DOS(E_F) in states/eV/atom: 0.729

abc: 5.456 5.456 5.532
angles: 90.00 90.00 90.00
Positions (direct):
1 Mn 0.000 0.000 0.000
2 Si 0.500 0.500 0.500
3 Sb 0.500 0.500 0.000
4 I 0.000 0.500 0.500
5 I 0.500 0.000 0.500


(ii)
MnSiSbI2 | PBE-GGA | relaxed

Values from the calculation:
DOS(E_F) in states/eV/atom: 0.774

abc: 5.376 5.376 5.401
angles: 90.00 90.00 90.00
Positions (direct):
1 Mn 0.000 0.000 0.000
2 Si 0.500 0.500 0.500
3 Sb 0.000 0.000 0.500
4 I 0.000 0.500 0.000
5 I 0.500 0.000 0.000


Stability summary: most stable (ii), least stable (i).


(i)
MnSiSb2I | PBE-GGA | relaxed

Values from the calculation:
DOS(E_F) in states/eV/atom: 0.942

abc: 4.829 4.829 5.681
angles: 90.00 90.00 90.00
Positions (direct):
1 Mn 0.000 0.000 0.000
2 Si 0.500 0.500 0.500
3 Sb 0.000 0.500 0.000
4 Sb 0.500 0.000 0.000
5 I 0.000 0.000 0.500


(ii)
MnSiSb2I | PBE-GGA | relaxed

Values from the calculation:
DOS(E_F) in states/eV/atom: 0.767

abc: 5.257 5.257 5.491
angles: 90.00 90.00 90.00
Positions (direct):
1 Mn 0.000 0.000 0.000
2 Si 0.500 0.500 0.500
3 Sb 0.000 0.500 0.500
4 Sb 0.500 0.000 0.500
5 I 0.500 0.500 0.000


Stability summary: most stable (i), least stable (ii).